*a*
Entry from the Alexandria database: a geometry-optimized SiRh2Au2 structure (PBE).

Results
The calculation puts the density of states at the Fermi level at 0.34 states/eV per atom. Its magnetization is 0.00 μB/f.u.

a b c (Å): 6.0613 6.0613 4.4910
angles (deg): 90.00 90.00 90.00
Last column: nearest neighbours and their distance in Å.
Space group P4/mbm (No. 127)
Inequivalent atoms, fractional coordinates:
Si 0.0000 0.0000 0.0000 [2 per cell]  4 Rh 2.31
Rh 0.1497 0.3503 0.0000 [4 per cell]  2 Si 2.31, 1 Rh 2.57
Au 0.1665 0.6665 0.5000 [4 per cell]  6 Rh 2.74-2.95, 1 Au 2.85


*b*
Entry from the Alexandria database: a geometry-optimized SiRh2Au2 structure (PBE).

Results
The calculation puts the density of states at the Fermi level at 1.30 states/eV per atom. Its magnetization is 1.00 μB/f.u.

a b c (Å): 3.6089 3.6089 13.7914
angles (deg): 90.00 90.00 90.00
Last column: nearest neighbours and their distance in Å.
Space group I4/mmm (No. 139)
Inequivalent atoms, fractional coordinates:
Si 0.0000 0.0000 0.0000 [2 per cell]  8 Rh 2.84
Rh 0.0000 0.0000 0.4099 [4 per cell]  1 Rh 2.49
Au 0.0000 0.5000 0.2500 [4 per cell]  4 Au 2.55, 4 Rh 2.85


Which one sits at the top of the stability order? *a* does.